Here is a relaxed TbPm2Zn3 crystal from Alexandria via LeMat-Bulk. Energies are from GGA-PBE.

a b c (Å): 5.1358 5.1358 6.2899
angles (deg): 90.00 90.00 120.00
Closest atoms and distances in Å follow each position.
Space group P-3m1 (No. 164)
One atom of each set of equivalent atoms:
Tb  0.0000  0.0000  0.0000 (multiplicity 1)  8 Zn 3.14
Pm  0.3333  0.6667  0.6718 (multiplicity 2)  8 Zn 3.10-3.19
Zn  0.0000  0.0000  0.5000 (multiplicity 1)  2 Tb 3.14, 6 Pm 3.16
Zn  0.3333  0.6667  0.1653 (multiplicity 2)  5 Pm 3.10-3.19, 3 Tb 3.14



Here is a relaxed TbPm4Zn crystal from Alexandria via LeMat-Bulk. Energies are from GGA-PBE.

a b c (Å): 3.6424 3.6424 13.9172
angles (deg): 90.00 90.00 90.00
Closest atoms and distances in Å follow each position.
Space group P4/mmm (No. 123)
One atom of each set of equivalent atoms:
Tb  0.0000  0.0000  0.0000 (multiplicity 1)  8 Pm 3.61, 4 Tb 3.64
Pm  0.0000  0.0000  0.3689 (multiplicity 2)  4 Zn 3.16
Pm  0.5000  0.5000  0.1814 (multiplicity 2)  4 Tb 3.61, 8 Pm 3.64-3.67
Zn  0.5000  0.5000  0.5000 (multiplicity 1)  8 Pm 3.16



Here is a relaxed Tb3PmZn8 crystal from Alexandria via LeMat-Bulk. Energies are from GGA-PBE.

a b c (Å): 5.5910 5.5910 8.6653
angles (deg): 90.00 90.00 120.00
Closest atoms and distances in Å follow each position.
Space group P3m1 (No. 156)
One atom of each set of equivalent atoms:
Tb  0.0000  0.0000  0.0000 (multiplicity 1)  12 Zn 3.10-3.27, 4 Tb 3.35-3.38
Tb  0.0000  0.0000  0.3872 (multiplicity 1)  12 Zn 3.10-3.28, 1 Tb 3.35, 3 Pm 3.36
Tb  0.3333  0.6667  0.8848 (multiplicity 1)  12 Zn 3.09-3.26, 1 Pm 3.37, 3 Tb 3.38
Pm  0.3333  0.6667  0.4955 (multiplicity 1)  12 Zn 3.11-3.28, 4 Tb 3.36-3.37
Zn  0.3311  0.1656  0.6936 (multiplicity 3)  6 Zn 2.69-2.81
Zn  0.5003  0.0006  0.1889 (multiplicity 3)  6 Zn 2.69-2.80
Zn  0.6667  0.3333  0.4426 (multiplicity 1)  6 Zn 2.71-2.73
Zn  0.6667  0.3333  0.9406 (multiplicity 1)  6 Zn 2.69



Here is a relaxed TbPm3Zn8 crystal from Alexandria via LeMat-Bulk. Energies are from GGA-PBE.

a b c (Å): 5.5416 5.5416 27.0347
angles (deg): 90.00 90.00 120.00
Closest atoms and distances in Å follow each position.
Space group R3m (No. 160, hexagonal axes)
One atom of each set of equivalent atoms:
Tb  0.0000  0.0000  0.0000 (multiplicity 3)  12 Zn 3.23-3.25, 4 Pm 3.37-3.40
Pm  0.0000  0.0000  0.1247 (multiplicity 3)  12 Zn 3.25-3.26, 1 Tb 3.37, 3 Pm 3.39
Pm  0.0000  0.0000  0.4993 (multiplicity 3)  12 Zn 3.25-3.26, 4 Pm 3.37-3.39
Pm  0.0000  0.0000  0.6241 (multiplicity 3)  12 Zn 3.23-3.25, 1 Pm 3.37, 3 Tb 3.40
Zn  0.0000  0.0000  0.3120 (multiplicity 3)  6 Zn 2.75
Zn  0.0000  0.0000  0.8122 (multiplicity 3)  6 Zn 2.77-2.78
Zn  0.0012  0.5006  0.5627 (multiplicity 9)  6 Zn 2.75-2.78
Zn  0.1672  0.3343  0.3947 (multiplicity 9)  6 Zn 2.75-2.78



Here is a relaxed TbPmZn10 crystal from Alexandria via LeMat-Bulk. Energies are from GGA-PBE.

a b c (Å): 4.2297 5.3468 9.2453
angles (deg): 90.00 90.00 90.00
Closest atoms and distances in Å follow each position.
Space group Pmmm (No. 47)
One atom of each set of equivalent atoms:
Tb  0.0000  0.0000  0.0000 (multiplicity 1)  18 Zn 3.06-3.41
Pm  0.0000  0.5000  0.5000 (multiplicity 1)  18 Zn 3.10-3.42
Zn  0.0000  0.0000  0.3305 (multiplicity 2)  6 Zn 2.61-2.63
Zn  0.0000  0.5000  0.1635 (multiplicity 2)  6 Zn 2.60-2.62
Zn  0.5000  0.0000  0.5000 (multiplicity 1)  8 Zn 2.63-2.68
Zn  0.5000  0.2489  0.2480 (multiplicity 4)  8 Zn 2.61-2.68
Zn  0.5000  0.5000  0.0000 (multiplicity 1)  8 Zn 2.60-2.66



Here is a relaxed Tb2PmZn3 crystal from Alexandria via LeMat-Bulk. Energies are from GGA-PBE.

a b c (Å): 3.6064 3.6064 10.8408
angles (deg): 90.00 90.00 90.00
Closest atoms and distances in Å follow each position.
Space group P4/mmm (No. 123)
One atom of each set of equivalent atoms:
Tb  0.0000  0.0000  0.1642 (multiplicity 2)  8 Zn 3.09-3.11
Pm  0.0000  0.0000  0.5000 (multiplicity 1)  8 Zn 3.17
Zn  0.5000  0.5000  0.0000 (multiplicity 1)  8 Tb 3.11
Zn  0.5000  0.5000  0.3257 (multiplicity 2)  4 Tb 3.09, 4 Pm 3.17



Here is a relaxed TbPm2Zn2 crystal from Alexandria via LeMat-Bulk. Energies are from GGA-PBE.

a b c (Å): 3.6757 5.2017 13.6633
angles (deg): 90.00 97.76 90.00
Closest atoms and distances in Å follow each position.
Space group P2_1/m (No. 11)
One atom of each set of equivalent atoms:
Tb  0.1435  0.2500  0.2849 (multiplicity 2)  6 Zn 3.07-3.19
Pm  0.0463  0.7500  0.0909 (multiplicity 2)  8 Zn 3.12-3.21
Pm  0.2313  0.7500  0.4636 (multiplicity 2)  2 Zn 3.12, 4 Pm 3.33-3.34
Zn  0.3608  0.2500  0.7226 (multiplicity 2)  4 Pm 3.12, 4 Tb 3.19
Zn  0.4478  0.7500  0.8964 (multiplicity 2)  2 Tb 3.07, 6 Pm 3.19-3.21



Here is a relaxed TbPm3Zn8 crystal from Alexandria via LeMat-Bulk. Energies are from GGA-PBE.

a b c (Å): 5.6449 5.6449 8.6931
angles (deg): 90.00 90.00 120.00
Closest atoms and distances in Å follow each position.
Space group P3m1 (No. 156)
One atom of each set of equivalent atoms:
Tb  0.0000  0.0000  0.0000 (multiplicity 1)  12 Zn 3.10-3.30, 4 Pm 3.39
Pm  0.0000  0.0000  0.3904 (multiplicity 1)  12 Zn 3.13-3.30, 3 Pm 3.39, 1 Tb 3.39
Pm  0.6667  0.3333  0.4974 (multiplicity 1)  12 Zn 3.11-3.31, 4 Pm 3.39-3.42
Pm  0.6667  0.3333  0.8913 (multiplicity 1)  12 Zn 3.10-3.29, 3 Tb 3.39, 1 Pm 3.42
Zn  0.0042  0.5021  0.1935 (multiplicity 3)  6 Zn 2.70-2.86
Zn  0.1668  0.3337  0.6972 (multiplicity 3)  6 Zn 2.69-2.83
Zn  0.3333  0.6667  0.4464 (multiplicity 1)  6 Zn 2.72
Zn  0.3333  0.6667  0.9436 (multiplicity 1)  6 Zn 2.69-2.70



Here is a relaxed TbPm4Zn5 crystal from Alexandria via LeMat-Bulk. Energies are from GGA-PBE.

a b c (Å): 3.6415 3.6415 18.2556
angles (deg): 90.00 90.00 90.00
Closest atoms and distances in Å follow each position.
Space group P4/mmm (No. 123)
One atom of each set of equivalent atoms:
Tb  0.0000  0.0000  0.0000 (multiplicity 1)  8 Zn 3.10
Pm  0.0000  0.0000  0.1972 (multiplicity 2)  8 Zn 3.17-3.18
Pm  0.0000  0.0000  0.3989 (multiplicity 2)  8 Zn 3.16-3.17
Zn  0.5000  0.5000  0.0946 (multiplicity 2)  4 Tb 3.10, 4 Pm 3.18, 1 Zn 3.45
Zn  0.5000  0.5000  0.2988 (multiplicity 2)  8 Pm 3.16-3.17
Zn  0.5000  0.5000  0.5000 (multiplicity 1)  8 Pm 3.17



Here is a relaxed Tb4PmZn crystal from Alexandria via LeMat-Bulk. Energies are from GGA-PBE.

a b c (Å): 3.5870 3.5870 13.7387
angles (deg): 90.00 90.00 90.00
Closest atoms and distances in Å follow each position.
Space group P4/mmm (No. 123)
One atom of each set of equivalent atoms:
Tb  0.0000  0.0000  0.1288 (multiplicity 2)  4 Zn 3.09
Tb  0.5000  0.5000  0.3144 (multiplicity 2)  8 Tb 3.59-3.60, 4 Pm 3.60
Pm  0.0000  0.0000  0.5000 (multiplicity 1)  4 Pm 3.59, 8 Tb 3.60
Zn  0.5000  0.5000  0.0000 (multiplicity 1)  8 Tb 3.09



Here is a relaxed TbPm2Zn3 crystal from Alexandria via LeMat-Bulk. Energies are from GGA-PBE.

a b c (Å): 3.6302 3.6302 10.9341
angles (deg): 90.00 90.00 90.00
Closest atoms and distances in Å follow each position.
Space group P4/mmm (No. 123)
One atom of each set of equivalent atoms:
Tb  0.0000  0.0000  0.0000 (multiplicity 1)  8 Zn 3.10
Pm  0.0000  0.0000  0.3307 (multiplicity 2)  8 Zn 3.16-3.18
Zn  0.5000  0.5000  0.1588 (multiplicity 2)  4 Tb 3.10, 4 Pm 3.18
Zn  0.5000  0.5000  0.5000 (multiplicity 1)  8 Pm 3.16



Here is a relaxed TbPm2Zr crystal from Alexandria via LeMat-Bulk. Energies are from GGA-PBE.

a b c (Å): 3.4099 3.4099 36.3967
angles (deg): 90.00 90.00 120.00
Closest atoms and distances in Å follow each position.
Space group R-3m (No. 166, hexagonal axes)
One atom of each set of equivalent atoms:
Tb  0.0000  0.0000  0.0000 (multiplicity 3)  6 Tb 3.41, 6 Pm 3.55
Pm  0.0000  0.0000  0.4144 (multiplicity 6)  1 Zr 3.12, 6 Pm 3.41
Zr  0.0000  0.0000  0.5000 (multiplicity 3)  2 Pm 3.12, 6 Zr 3.41



Number 1: magnetic moment 0.00 μB/f.u., E_tot -19.89 eV for the cell shown, ΔH_f (0 K) -0.32 eV per atom. Number 2: magnetic moment 0.00 μB/f.u., E_tot -25.48 eV for the cell shown, ΔH_f (0 K) -0.10 eV per atom. Number 3: magnetic moment 0.00 μB/f.u., E_tot -32.66 eV for the cell shown, ΔH_f (0 K) -0.32 eV per atom. Number 4: magnetic moment 0.00 μB/f.u., E_tot -99.02 eV for the cell shown, ΔH_f (0 K) -0.33 eV per atom. Number 5: magnetic moment 0.00 μB/f.u., E_tot -25.60 eV for the cell shown, ΔH_f (0 K) -0.29 eV per atom. Number 6: magnetic moment 0.00 μB/f.u., E_tot -19.80 eV for the cell shown, ΔH_f (0 K) -0.33 eV per atom. Number 7: magnetic moment 0.00 μB/f.u., E_tot -35.83 eV for the cell shown, ΔH_f (0 K) -0.25 eV per atom. Number 8: magnetic moment 0.00 μB/f.u., E_tot -32.81 eV for the cell shown, ΔH_f (0 K) -0.31 eV per atom. Number 9: magnetic moment 0.00 μB/f.u., E_tot -33.18 eV for the cell shown, ΔH_f (0 K) -0.32 eV per atom. Number 10: magnetic moment 0.00 μB/f.u., E_tot -25.14 eV for the cell shown, ΔH_f (0 K) -0.10 eV per atom. Number 11: magnetic moment 0.00 μB/f.u., E_tot -19.88 eV for the cell shown, ΔH_f (0 K) -0.32 eV per atom. Number 12: magnetic moment 0.00 μB/f.u., E_tot -64.31 eV for the cell shown, ΔH_f (0 K) 0.31 eV per atom.